1.
Na2HfCd2 PBE relaxed; crystal system = tetragonal; ΔH_f (0 K) = 1.71 eV/f.u.; space group = I4/mmm (139)
1.0
3.9454 0.0000 0.0000
0.0000 3.9454 0.0000
1.9727 1.9727 7.6519
Na Hf Cd
2 1 2
Direct
0.7500 0.2500 0.5000
0.2500 0.7500 0.5000
0.0000 0.0000 0.0000
0.4071 0.4071 0.1858
0.5929 0.5929 0.8142

=====

2.
NaHfCd2 PBE relaxed; crystal system = tetragonal; ΔH_f (0 K) = 0.24 eV/f.u.; space group = P4/mmm (123)
1.0
-1.2798 0.9491 2.7569
3.9711 -2.3263 2.6443
2.8023 4.5010 -0.2487
Na Hf Cd
1 1 2
Direct
0.5000 0.5000 0.5000
0.5000 0.0000 0.0000
0.0000 0.0000 0.5000
0.0000 0.5000 0.0000

=====

3.
NaHfCd PBE relaxed; crystal system = monoclinic; polymorph energy (0 for the lowest one) = 4.1 kJ/mol of atoms; ΔH_f (0 K) = 0.06 eV/f.u.; space group = Cm (8)
1.0
-12.8198 -5.1705 8.4247
1.6758 -2.6270 0.9377
1.8819 2.8138 4.5198
Na Hf Cd
4 4 4
Direct
0.7311 0.0000 0.5210
0.7311 0.5000 0.0210
0.9322 0.0000 0.1722
0.9322 0.5000 0.6722
0.4044 0.0000 0.5144
0.4044 0.5000 0.0144
0.2589 0.0000 0.8436
0.2589 0.5000 0.3436
0.1003 0.0000 0.5076
0.1003 0.5000 0.0076
0.5627 0.0000 0.1856
0.5627 0.5000 0.6856

=====

4.
NaHfCd2 PBE relaxed; crystal system = tetragonal; ΔH_f (0 K) = 0.08 eV/f.u.; space group = P4/mmm (123)
1.0
-0.9978 2.7024 1.2937
-2.1737 0.2855 -2.2729
-6.0174 -4.6942 5.1649
Na Hf Cd
1 1 2
Direct
0.5000 0.5000 0.0000
0.5000 0.5000 0.5000
0.0000 0.0000 0.7322
0.0000 0.0000 0.2678

=====

5.
NaHfCd PBE relaxed; crystal system = monoclinic; polymorph energy (0 for the lowest one) = 21.7 kJ/mol of atoms; ΔH_f (0 K) = 0.61 eV/f.u.; space group = Cm (8)
1.0
-4.2958 2.4339 7.0343
-2.6992 -0.7016 -1.4057
2.1562 -10.8970 1.2986
Na Hf Cd
4 4 4
Direct
0.8330 0.0000 0.4555
0.8330 0.5000 0.9555
0.7573 0.0000 0.1782
0.7573 0.5000 0.6782
0.4557 0.0000 0.7992
0.4557 0.5000 0.2992
0.4052 0.0000 0.5105
0.4052 0.5000 0.0105
0.1632 0.0000 0.1246
0.1632 0.5000 0.6246
0.1051 0.0000 0.8397
0.1051 0.5000 0.3397

=====

6.
NaHfCd PBE relaxed; crystal system = trigonal; polymorph energy (0 for the lowest one) = 23.5 kJ/mol of atoms; ΔH_f (0 K) = 0.67 eV/f.u.; space group = P3m1 (156)
1.0
3.0710 0.0000 0.0000
-1.5355 2.6596 0.0000
0.0000 0.0000 8.6146
Na Hf Cd
1 1 1
Direct
0.0000 0.0000 0.3047
0.6667 0.3333 0.6599
0.3333 0.6667 0.9676

=====

7.
NaHf2Cd PBE relaxed; crystal system = tetragonal; ΔH_f (0 K) = 2.61 eV/f.u.; space group = I-42d (122)
1.0
-2.1141 3.1722 1.5619
-1.0302 -2.2935 3.2635
7.7943 3.9954 7.8684
Na Hf Cd
2 4 2
Direct
0.5000 0.5000 0.0000
0.2500 0.7500 0.5000
0.6359 0.1250 0.2500
0.1141 0.6250 0.2500
0.3750 0.3641 0.7500
0.8750 0.8859 0.7500
0.0000 0.0000 0.0000
0.7500 0.2500 0.5000

=====

8.
NaHf3Cd PBE relaxed; crystal system = cubic; polymorph energy (0 for the lowest one) = 14.2 kJ/mol of atoms; ΔH_f (0 K) = 7.49 eV/f.u.; space group = Pm-3m (221)
1.0
4.9657 0.0000 0.0000
0.0000 4.9657 0.0000
0.0000 0.0000 4.9657
Na Hf Cd
1 3 1
Direct
0.0000 0.0000 0.0000
0.0000 0.5000 0.0000
0.0000 0.0000 0.5000
0.5000 0.0000 0.0000
0.5000 0.5000 0.5000

=====

9.
NaHfCd PBE relaxed; crystal system = tetragonal; polymorph energy (0 for the lowest one) = 6.4 kJ/mol of atoms; ΔH_f (0 K) = 0.13 eV/f.u.; space group = P4mm (99)
1.0
-3.0779 -0.5718 0.4856
0.6671 -1.1484 2.8762
-1.6293 13.7558 5.8705
Na Hf Cd
2 2 2
Direct
0.0000 0.0000 0.9006
0.5000 0.5000 0.6889
0.5000 0.5000 0.3629
0.0000 0.0000 0.4981
0.0000 0.0000 0.2095
0.5000 0.5000 0.0595

=====

10.
Na2HfCd2 PBE relaxed; crystal system = tetragonal; ΔH_f (0 K) = 1.72 eV/f.u.; space group = P4/mbm (127)
1.0
8.8570 0.0000 0.0000
0.0000 8.8570 0.0000
0.0000 0.0000 3.0793
Na Hf Cd
4 2 4
Direct
0.1261 0.6261 0.5000
0.6261 0.8739 0.5000
0.8739 0.3739 0.5000
0.3739 0.1261 0.5000
0.0000 0.0000 0.0000
0.5000 0.5000 0.0000
0.3235 0.8235 0.0000
0.8235 0.6765 0.0000
0.6765 0.1765 0.0000
0.1765 0.3235 0.0000

=====

11.
NaHfCd2 PBE relaxed; crystal system = tetragonal; ΔH_f (0 K) = 2.10 eV/f.u.; space group = I-42d (122)
1.0
7.8266 0.0000 0.0000
0.0000 7.8266 0.0000
3.9133 3.9133 3.2521
Na Hf Cd
2 2 4
Direct
0.5000 0.5000 0.0000
0.2500 0.7500 0.5000
0.0000 0.0000 0.0000
0.7500 0.2500 0.5000
0.6239 0.1250 0.2500
0.1261 0.6250 0.2500
0.3750 0.3761 0.7500
0.8750 0.8739 0.7500

=====

12.
NaHfCd PBE relaxed; crystal system = tetragonal; polymorph energy (0 for the lowest one) = 0.0 kJ/mol of atoms; ΔH_f (0 K) = -0.07 eV/f.u.; space group = P4/nmm (129)
1.0
3.2007 0.0000 0.0000
0.0000 3.2007 0.0000
0.0000 0.0000 14.3448
Na Hf Cd
2 2 2
Direct
0.0000 0.5000 0.8928
0.5000 0.0000 0.1072
0.0000 0.5000 0.5714
0.5000 0.0000 0.4286
0.0000 0.5000 0.2704
0.5000 0.0000 0.7296

=====

13.
NaHf3Cd PBE relaxed; crystal system = cubic; polymorph energy (0 for the lowest one) = 0.0 kJ/mol of atoms; ΔH_f (0 K) = 6.76 eV/f.u.; space group = Pm-3m (221)
1.0
-0.9527 4.6694 -2.3126
-1.7989 -2.5011 -4.3090
-4.8904 0.0104 2.0356
Na Hf Cd
1 3 1
Direct
0.5000 0.5000 0.5000
0.0000 0.5000 0.0000
0.0000 0.0000 0.5000
0.5000 0.0000 0.0000
0.0000 0.0000 0.0000

=====

14.
NaHfCd2 PBE relaxed; crystal system = trigonal; ΔH_f (0 K) = 1.16 eV/f.u.; space group = R-3m (166)
1.0
3.0771 0.0000 0.0000
1.5385 2.6648 0.0000
1.5385 0.8883 11.6934
Na Hf Cd
1 1 2
Direct
0.5000 0.5000 0.5000
0.0000 0.0000 0.0000
0.0871 0.0871 0.7387
0.9129 0.9129 0.2613

=====

15.
NaHfCd PBE relaxed; crystal system = orthorhombic; polymorph energy (0 for the lowest one) = 41.5 kJ/mol of atoms; ΔH_f (0 K) = 1.22 eV/f.u.; space group = Fmmm (69)
1.0
5.2771 0.0000 0.0000
2.6386 4.2153 0.0000
2.6386 0.0000 6.7848
Na Hf Cd
2 2 2
Direct
0.7500 0.5000 0.5000
0.2500 0.5000 0.5000
0.8209 0.3581 0.0000
0.1791 0.6419 0.0000
0.6038 0.0000 0.7925
0.3962 0.0000 0.2075

=====

16.
NaHfCd PBE relaxed; crystal system = triclinic; polymorph energy (0 for the lowest one) = 10.4 kJ/mol of atoms; ΔH_f (0 K) = 0.26 eV/f.u.; space group = P1 (1)
1.0
-0.1850 -0.3062 3.2262
-2.4741 -0.9694 -1.8657
6.6894 -14.9724 -1.0393
Na Hf Cd
2 2 2
Direct
0.6833 0.4352 0.8894
0.3558 0.7788 0.6913
0.6857 0.4353 0.3649
0.0202 0.1038 0.5083
0.3498 0.7669 0.2100
0.0118 0.1003 0.0555

=====

17.
NaHfNbCd2 PBE relaxed; crystal system = tetragonal; ΔH_f (0 K) = 4.64 eV/f.u.; space group = P4/mmm (123)
1.0
5.6231 0.0000 0.0000
0.0000 4.9138 0.0000
0.0000 0.0000 5.6231
Na Nb Hf Cd
1 1 1 2
Direct
0.5000 0.5000 0.5000
0.0000 0.5000 0.0000
0.0000 0.0000 0.0000
0.0000 0.0000 0.5000
0.5000 0.0000 0.0000

=====

18.
NaHfCdNi2 PBE relaxed; crystal system = tetragonal; ΔH_f (0 K) = 5.23 eV/f.u.; space group = P4/mmm (123)
1.0
-0.7848 0.1827 -4.5540
3.8945 -3.8944 -0.8273
-3.2116 -3.3011 0.4210
Na Ni Hf Cd
1 2 1 1
Direct
0.0000 0.5000 0.0000
0.0000 0.0000 0.5000
0.5000 0.0000 0.0000
0.0000 0.0000 0.0000
0.5000 0.5000 0.5000

=====

19.
Na3HfCd2O6 PBE relaxed; crystal system = monoclinic; space group = C2/m (12)
1.0
-4.5375 -1.5386 3.1394
5.1506 -2.2035 1.1951
0.7812 5.4954 2.0132
Na Hf Cd O
3 1 2 6
Direct
0.1722 0.8278 0.5000
0.8278 0.1722 0.5000
0.5000 0.5000 0.5000
0.0000 0.0000 0.0000
0.3332 0.6668 0.0000
0.6668 0.3332 0.0000
0.9281 0.6247 0.7794
0.7695 0.7695 0.2148
0.0719 0.3753 0.2206
0.6247 0.9281 0.7794
0.2305 0.2305 0.7852
0.3753 0.0719 0.2206

=====

20.
NaHfCdPb2 PBE relaxed; crystal system = tetragonal; ΔH_f (0 K) = 5.19 eV/f.u.; space group = P4/mmm (123)
1.0
-0.9660 -4.3631 -2.9004
-0.2013 -2.9423 4.4932
-5.2354 0.9162 0.3654
Pb Na Hf Cd
2 1 1 1
Direct
0.0000 0.0000 0.5000
0.5000 0.0000 0.0000
0.0000 0.0000 0.0000
0.0000 0.5000 0.0000
0.5000 0.5000 0.5000

=====

21.
NaHfCd2Pb PBE relaxed; crystal system = tetragonal; ΔH_f (0 K) = 2.31 eV/f.u.; space group = P4/mmm (123)
1.0
-2.2001 -4.1801 -3.3600
4.7891 -0.0859 -3.0290
2.1833 -4.0153 3.5658
Pb Na Hf Cd
1 1 1 2
Direct
0.0000 0.5000 0.0000
0.5000 0.5000 0.5000
0.0000 0.0000 0.0000
0.0000 0.0000 0.5000
0.5000 0.0000 0.0000

=====

22.
NaHfCd2S PBE relaxed; crystal system = tetragonal; space group = P4/mmm (123)
1.0
5.3300 0.0000 0.0000
0.0000 4.7327 0.0000
0.0000 0.0000 5.3300
Na S Hf Cd
1 1 1 2
Direct
0.5000 0.5000 0.5000
0.0000 0.0000 0.0000
0.0000 0.5000 0.0000
0.0000 0.0000 0.5000
0.5000 0.0000 0.0000

=====

23.
Na2HfCdS4 PBE relaxed; crystal system = monoclinic; space group = P2/m (10)
1.0
-2.2741 -2.8849 -0.9652
4.7091 -2.2703 -4.3095
1.0132 -2.9068 6.3006
Na Hf Cd S
2 1 1 4
Direct
0.5000 0.0000 0.5000
0.0000 0.5000 0.5000
0.5000 0.5000 0.0000
0.0000 0.0000 0.0000
0.5000 0.2565 0.2137
0.5000 0.7435 0.7863
0.0000 0.2816 0.7764
0.0000 0.7184 0.2236

=====

24.
Na3HfCd2S6 PBE relaxed; crystal system = monoclinic; space group = C2/m (12)
1.0
6.6718 -0.0028 -0.0054
-3.3367 5.7775 -0.0054
-1.1180 -1.9358 6.6883
Na Hf Cd S
3 1 2 6
Direct
0.1724 0.8276 0.5000
0.8276 0.1724 0.5000
0.5000 0.5000 0.5000
0.0000 0.0000 0.0000
0.3338 0.6662 0.0000
0.6662 0.3338 0.0000
0.9264 0.6111 0.7773
0.7598 0.7598 0.2217
0.0736 0.3889 0.2227
0.6111 0.9264 0.7773
0.2402 0.2402 0.7783
0.3889 0.0736 0.2227

=====

25.
Na3HfCd2Se6 PBE relaxed; crystal system = monoclinic; space group = C2/m (12)
1.0
-0.4582 2.5206 -6.4729
0.4470 -6.8670 1.0522
-7.0086 1.0616 2.1673
Na Hf Cd Se
3 1 2 6
Direct
0.1723 0.8277 0.5000
0.8277 0.1723 0.5000
0.5000 0.5000 0.5000
0.0000 0.0000 0.0000
0.3341 0.6659 0.0000
0.6659 0.3341 0.0000
0.9261 0.6093 0.7767
0.7588 0.7588 0.2230
0.0739 0.3907 0.2233
0.6093 0.9261 0.7767
0.2412 0.2412 0.7770
0.3907 0.0739 0.2233

=====

26.
Na2Hf2CdTe6 PBE relaxed; crystal system = monoclinic; space group = C2/m (12)
1.0
-0.1640 7.2995 -1.1632
-5.6615 -3.5985 3.1082
5.0356 -0.0831 6.2690
Na Hf Cd Te
2 2 1 6
Direct
0.8478 0.1522 0.0000
0.1522 0.8478 0.0000
0.3251 0.6749 0.5000
0.6749 0.3251 0.5000
0.0000 0.0000 0.5000
0.7263 0.7263 0.7057
0.0787 0.4334 0.7271
0.2737 0.2737 0.2943
0.4334 0.0787 0.7271
0.9213 0.5666 0.2729
0.5666 0.9213 0.2729

=====

Listing DFT total energy for the structures above in their given order: -2.54; -3.22; -4.04; -3.25; -3.86; -3.84; -4.88; -4.92; -4.02; -2.54; -2.75; -4.08; -5.07; -2.99; -3.65; -3.98; -3.71; -3.70; -5.58; -2.88; -2.90; -3.20; -4.96; -4.36; -3.96; -4.60 eV/atom.